1.
Compound: ZnSiRu2
Source: Alexandria
Functional: GGA-PBE
Structure: relaxed

extended XYZ file:
```
4
Lattice="-0.262 -2.068 -2.264 2.523 1.146 -1.339 3.238 -3.662 2.969" Properties=species:S:1:pos:R:3 pbc="T T T"
Ru 3.149 -3.561 2.887
Ru 2.046 -1.497 -0.961
Si 1.608 -1.819 1.475
Zn 3.552 -3.200 0.419
```

* raw formation energy: -0.081 eV/atom
* density of states at the Fermi level: 2.63 states/eV/cell
* M_tot: 0.0 μB per formula unit
* VASP energy: -6.39 eV/atom



2.
Compound: ZnSiRu2
Source: Alexandria
Functional: GGA-PBE
Structure: relaxed

extended XYZ file:
```
4
Lattice="2.840 0.000 0.000 1.420 2.459 0.000 1.420 0.820 7.911" Properties=species:S:1:pos:R:3 pbc="T T T"
Zn 2.840 1.640 3.956
Si 2.840 1.640 0.001
Ru 1.420 0.820 6.094
Ru 1.420 0.820 1.816
```

* raw formation energy: -0.231 eV/atom
* density of states at the Fermi level: 2.55 states/eV/cell
* M_tot: 0.0 μB per formula unit
* VASP energy: -6.54 eV/atom



3.
Compound: ZnSiRu
Source: Alexandria
Functional: GGA-PBE
Structure: relaxed

extended XYZ file:
```
3
Lattice="-0.056 4.734 -0.604 -0.576 2.261 -4.164 -1.845 -3.484 2.690" Properties=species:S:1:pos:R:3 pbc="T T T"
Ru -0.622 6.888 -4.695
Si -0.218 2.418 -1.648
Zn -0.423 4.684 -3.193
```

* raw formation energy: -0.338 eV/atom
* density of states at the Fermi level: 0.32 states/eV/cell
* M_tot: 0.0 μB per formula unit
* VASP energy: -5.66 eV/atom



4.
Compound: Zn2SiRu
Source: Alexandria
Functional: GGA-PBE
Structure: relaxed

extended XYZ file:
```
4
Lattice="-5.889 -6.974 1.764 -4.652 -6.871 4.193 -6.761 -5.224 3.665" Properties=species:S:1:pos:R:3 pbc="T T T"
Ru -4.326 -4.767 2.406
Si -12.977 -14.302 7.217
Zn -17.211 -18.968 9.572
Zn -8.743 -9.635 4.862
```

* raw formation energy: 0.174 eV/atom
* density of states at the Fermi level: 1.49 states/eV/cell
* M_tot: 0.0 μB per formula unit
* VASP energy: -4.14 eV/atom



5.
Compound: Zn2SiRu
Source: Alexandria
Functional: GGA-PBE
Structure: relaxed

extended XYZ file:
```
4
Lattice="4.921 0.003 0.000 2.289 4.356 0.000 -3.605 -2.180 2.543" Properties=species:S:1:pos:R:3 pbc="T T T"
Ru 1.144 2.178 1.272
Si 2.460 0.002 1.272
Zn 0.000 0.000 0.000
Zn 3.605 2.180 0.000
```

* raw formation energy: -0.151 eV/atom
* density of states at the Fermi level: 1.52 states/eV/cell
* M_tot: 0.0 μB per formula unit
* VASP energy: -4.46 eV/atom



6.
Compound: Zn2SiRu
Source: Alexandria
Functional: GGA-PBE
Structure: relaxed

extended XYZ file:
```
4
Lattice="2.693 0.000 0.000 0.000 2.693 0.000 0.000 0.000 8.306" Properties=species:S:1:pos:R:3 pbc="T T T"
Ru 1.347 1.347 2.077
Si 1.347 1.347 6.230
Zn 0.000 0.000 0.178
Zn 0.000 0.000 3.975
```

* raw formation energy: 0.245 eV/atom
* density of states at the Fermi level: 3.37 states/eV/cell
* M_tot: 0.9 μB per formula unit
* VASP energy: -4.07 eV/atom



7.
Compound: ZnSiRu4
Source: Alexandria
Functional: GGA-PBE
Structure: relaxed

extended XYZ file:
```
6
Lattice="3.180 -3.926 0.505 -1.803 -4.587 1.221 -0.002 -3.728 -3.448" Properties=species:S:1:pos:R:3 pbc="T T T"
Zn 0.000 0.000 0.000
Si 1.032 -9.181 -1.291
Ru 2.104 -6.553 -0.394
Ru 0.515 -6.454 -2.367
Ru -0.384 -6.883 -0.036
Ru 0.516 -4.593 -0.646
```

* raw formation energy: 0.604 eV/atom
* density of states at the Fermi level: 8.79 states/eV/cell
* M_tot: 1.9 μB per formula unit
* VASP energy: -6.70 eV/atom



8.
Compound: ZnSi2Ru
Source: Alexandria
Functional: GGA-PBE
Structure: relaxed

extended XYZ file:
```
4
Lattice="4.677 0.005 -0.001 3.764 2.777 -0.001 0.356 0.117 4.251" Properties=species:S:1:pos:R:3 pbc="T T T"
Ru 2.257 0.744 0.934
Si 8.317 2.741 0.114
Si 6.592 2.173 3.142
Zn 4.470 1.473 2.182
```

* raw formation energy: -0.087 eV/atom
* density of states at the Fermi level: 1.22 states/eV/cell
* M_tot: 0.0 μB per formula unit
* VASP energy: -5.44 eV/atom



9.
Compound: ZnSiRu
Source: Alexandria
Functional: GGA-PBE
Structure: relaxed

extended XYZ file:
```
24
Lattice="4.631 0.000 0.000 0.000 7.980 0.000 0.000 0.000 8.656" Properties=species:S:1:pos:R:3 pbc="T T T"
Ru 1.158 1.995 6.492
Ru 1.158 5.985 2.164
Ru 3.474 1.995 2.164
Ru 3.474 5.985 6.492
Ru 0.000 0.000 0.000
Ru 0.000 3.990 4.328
Ru 2.316 0.000 4.328
Ru 2.316 3.990 0.000
Zn 0.000 5.312 0.000
Zn 0.000 2.668 0.000
Zn 0.000 1.322 4.328
Zn 0.000 6.658 4.328
Zn 2.316 5.312 4.328
Zn 2.316 2.668 4.328
Zn 2.316 1.322 0.000
Zn 2.316 6.658 0.000
Si 1.158 0.650 2.164
Si 1.158 7.329 6.492
Si 3.474 0.650 6.492
Si 3.474 7.329 2.164
Si 1.158 4.640 6.492
Si 1.158 3.340 2.164
Si 3.474 4.640 2.164
Si 3.474 3.340 6.492
```

* raw formation energy: -0.360 eV/atom
* M_tot: 0.0 μB per formula unit
* VASP energy: -5.68 eV/atom



10.
Compound: ZnSiRu3
Source: Alexandria
Functional: GGA-PBE
Structure: relaxed

extended XYZ file:
```
5
Lattice="4.380 0.000 0.000 0.000 4.380 0.000 0.000 0.000 4.380" Properties=species:S:1:pos:R:3 pbc="T T T"
Ru 0.000 2.190 0.000
Ru 0.000 0.000 2.190
Ru 2.190 0.000 0.000
Zn 2.190 2.190 2.190
Si 0.000 0.000 0.000
```

* raw formation energy: 0.638 eV/atom
* energy relative to the lowest polymorph listed for this composition: 0.00 eV/f.u.
* density of states at the Fermi level: 4.39 states/eV/cell
* M_tot: 1.9 μB per formula unit
* VASP energy: -6.27 eV/atom



11.
Compound: ZnSiRu
Source: Alexandria
Functional: GGA-PBE
Structure: relaxed

extended XYZ file:
```
3
Lattice="-3.117 -0.929 -2.368 2.195 -2.926 1.676 -1.868 0.006 2.456" Properties=species:S:1:pos:R:3 pbc="T T T"
Ru -0.311 0.001 0.409
Si 0.113 -2.259 0.737
Zn -2.592 -1.590 0.618
```

* raw formation energy: -0.197 eV/atom
* density of states at the Fermi level: 1.21 states/eV/cell
* M_tot: 0.0 μB per formula unit
* VASP energy: -5.52 eV/atom



12.
Compound: ZnSi2Ru
Source: Alexandria
Functional: GGA-PBE
Structure: relaxed

extended XYZ file:
```
4
Lattice="2.997 0.000 0.000 0.000 4.505 0.000 0.000 0.000 4.109" Properties=species:S:1:pos:R:3 pbc="T T T"
Ru 0.000 2.253 2.055
Si 0.000 0.000 0.000
Si 1.499 2.253 0.000
Zn 1.499 0.000 2.055
```

* raw formation energy: 0.128 eV/atom
* density of states at the Fermi level: 1.45 states/eV/cell
* M_tot: 0.0 μB per formula unit
* VASP energy: -5.22 eV/atom